# Pu2InCuS4, relaxed, DFT GGA-PBE
data_Pu2InCuS4
_chemical_formula_sum 'Pu4 In2 Cu2 S8'
_cell_length_a 3.9834
_cell_length_b 7.1217
_cell_length_c 13.6621
_cell_angle_alpha 90.00
_cell_angle_beta 90.00
_cell_angle_gamma 106.24
_space_group_name_H-M_alt 'P 1'
_space_group_IT_number 1
_space_group_name_Hall 'P 1'
loop_
_atom_site_label
_atom_site_fract_x
_atom_site_fract_y
_atom_site_fract_z
Pu1 0.3668 0.7335 0.5592
Pu2 0.6332 0.2665 0.0592
Pu3 0.6332 0.2665 0.4408
Pu4 0.3668 0.7335 0.9408
In1 0.1037 0.2075 0.7500
In2 0.8963 0.7925 0.2500
Cu1 0.8350 0.6699 0.7500
Cu2 0.1650 0.3301 0.2500
S1 0.2607 0.5214 0.1106
S2 0.7393 0.4786 0.6106
S3 0.7393 0.4786 0.8894
S4 0.2607 0.5214 0.3894
S5 0.0000 0.0000 0.5000
S6 0.0000 0.0000 0.0000
S7 0.4280 0.8560 0.7500
S8 0.5720 0.1440 0.2500
# - density (g cm⁻³) = 7.1
# - raw formation energy (eV/f.u.) = -9.29
# - SG = Cmcm, No. 63
# - crystal system = orthorhombic
# - Fermi-level density of states (states/eV per cell) = 32.4

---

# TmPuInCu, relaxed, DFT GGA-PBE
data_TmPuInCu
_chemical_formula_sum 'Tm1 Pu1 In1 Cu1'
_cell_length_a 5.1447
_cell_length_b 5.1447
_cell_length_c 5.1447
_cell_angle_alpha 60.00
_cell_angle_beta 60.00
_cell_angle_gamma 60.00
_space_group_name_H-M_alt 'P 1'
_space_group_IT_number 1
_space_group_name_Hall 'P 1'
loop_
_atom_site_label
_atom_site_fract_x
_atom_site_fract_y
_atom_site_fract_z
Tm1 0.2500 0.2500 0.2500
In1 0.5000 0.5000 0.5000
Cu1 0.0000 0.0000 0.0000
Pu1 0.7500 0.7500 0.7500
# - density (g cm⁻³) = 10.2
# - ΔH_f (0 K) (eV per atom) = -0.09
# - SG = F-43m, No. 216
# - crystal system = cubic
# - Fermi-level density of states (states/eV per cell) = 8.4

---

# YPuInCu, relaxed, DFT GGA-PBE
data_YPuInCu
_chemical_formula_sum 'Y1 Pu1 In1 Cu1'
_cell_length_a 5.1867
_cell_length_b 5.1867
_cell_length_c 5.1867
_cell_angle_alpha 60.00
_cell_angle_beta 60.00
_cell_angle_gamma 60.00
_space_group_name_H-M_alt 'P 1'
_space_group_IT_number 1
_space_group_name_Hall 'P 1'
loop_
_atom_site_label
_atom_site_fract_x
_atom_site_fract_y
_atom_site_fract_z
Y1 0.7500 0.7500 0.7500
In1 0.0000 0.0000 0.0000
Cu1 0.5000 0.5000 0.5000
Pu1 0.2500 0.2500 0.2500
# - density (g cm⁻³) = 8.6
# - ΔH_f (0 K) (eV per atom) = -0.09
# - SG = F-43m, No. 216
# - crystal system = cubic
# - Fermi-level density of states (states/eV per cell) = 9.3

---

# RbIn2Cu, relaxed, DFT GGA-PBE
data_RbIn2Cu
_chemical_formula_sum 'Rb1 In2 Cu1'
_cell_length_a 5.3901
_cell_length_b 5.3901
_cell_length_c 5.3901
_cell_angle_alpha 60.00
_cell_angle_beta 60.00
_cell_angle_gamma 60.00
_space_group_name_H-M_alt 'P 1'
_space_group_IT_number 1
_space_group_name_Hall 'P 1'
loop_
_atom_site_label
_atom_site_fract_x
_atom_site_fract_y
_atom_site_fract_z
Cu1 0.0000 0.0000 0.0000
Rb1 0.5000 0.5000 0.5000
In1 0.2500 0.2500 0.2500
In2 0.7500 0.7500 0.7500
# - density (g cm⁻³) = 5.7
# - ΔH_f (0 K) (eV per atom) = 0.39
# - SG = Fm-3m, No. 225
# - crystal system = cubic
# - Fermi-level density of states (states/eV per cell) = 2.3

---

# RbIn2Cu, relaxed, DFT GGA-PBE
data_RbIn2Cu
_chemical_formula_sum 'Rb1 In2 Cu1'
_cell_length_a 3.4065
_cell_length_b 3.4065
_cell_length_c 9.1385
_cell_angle_alpha 90.00
_cell_angle_beta 90.00
_cell_angle_gamma 90.00
_space_group_name_H-M_alt 'P 1'
_space_group_IT_number 1
_space_group_name_Hall 'P 1'
loop_
_atom_site_label
_atom_site_fract_x
_atom_site_fract_y
_atom_site_fract_z
Cu1 0.5000 0.5000 0.0000
Rb1 0.5000 0.5000 0.5000
In1 0.0000 0.0000 0.8232
In2 0.0000 0.0000 0.1768
# - density (g cm⁻³) = 5.9
# - ΔH_f (0 K) (eV per atom) = 0.07
# - SG = P4/mmm, No. 123
# - crystal system = tetragonal
# - Fermi-level density of states (states/eV per cell) = 1.8

---

# RbInCu3, relaxed, DFT GGA-PBE
data_RbInCu3
_chemical_formula_sum 'Rb1 In1 Cu3'
_cell_length_a 5.1002
_cell_length_b 5.1002
_cell_length_c 5.1002
_cell_angle_alpha 90.00
_cell_angle_beta 90.00
_cell_angle_gamma 90.00
_space_group_name_H-M_alt 'P 1'
_space_group_IT_number 1
_space_group_name_Hall 'P 1'
loop_
_atom_site_label
_atom_site_fract_x
_atom_site_fract_y
_atom_site_fract_z
Cu1 0.0000 0.5000 0.0000
Cu2 0.0000 0.0000 0.5000
Cu3 0.5000 0.0000 0.0000
Rb1 0.5000 0.5000 0.5000
In1 0.0000 0.0000 0.0000
# - density (g cm⁻³) = 4.9
# - ΔH_f (0 K) (eV per atom) = 0.47
# - SG = Pm-3m, No. 221
# - crystal system = cubic
# - Fermi-level density of states (states/eV per cell) = 1.9

---

# RbIn2Cu, relaxed, DFT GGA-PBE
data_RbIn2Cu
_chemical_formula_sum 'Rb1 In2 Cu1'
_cell_length_a 4.6182
_cell_length_b 4.6182
_cell_length_c 7.4804
_cell_angle_alpha 72.02
_cell_angle_beta 72.02
_cell_angle_gamma 60.00
_space_group_name_H-M_alt 'P 1'
_space_group_IT_number 1
_space_group_name_Hall 'P 1'
loop_
_atom_site_label
_atom_site_fract_x
_atom_site_fract_y
_atom_site_fract_z
Cu1 0.0000 0.0000 0.0000
Rb1 0.5000 0.5000 0.5000
In1 0.2985 0.2985 0.1045
In2 0.7015 0.7015 0.8955
# - density (g cm⁻³) = 4.9
# - ΔH_f (0 K) (eV per atom) = 0.02
# - SG = R-3m, No. 166
# - crystal system = trigonal
# - Fermi-level density of states (states/eV per cell) = 3.2

---

# RbInCu3, relaxed, DFT GGA-PBE
data_RbInCu3
_chemical_formula_sum 'Rb1 In1 Cu3'
_cell_length_a 5.5809
_cell_length_b 5.5809
_cell_length_c 5.5809
_cell_angle_alpha 90.00
_cell_angle_beta 90.00
_cell_angle_gamma 90.00
_space_group_name_H-M_alt 'P 1'
_space_group_IT_number 1
_space_group_name_Hall 'P 1'
loop_
_atom_site_label
_atom_site_fract_x
_atom_site_fract_y
_atom_site_fract_z
Cu1 0.0000 0.5000 0.0000
Cu2 0.0000 0.0000 0.5000
Cu3 0.5000 0.0000 0.0000
Rb1 0.0000 0.0000 0.0000
In1 0.5000 0.5000 0.5000
# - density (g cm⁻³) = 3.7
# - ΔH_f (0 K) (eV per atom) = 1.54
# - SG = Pm-3m, No. 221
# - crystal system = cubic
# - Fermi-level density of states (states/eV per cell) = 6.2